Record 1
Below is a geometry-optimized Sm2Ga4HgAu3 structure, with properties calculated at the PBE level.

a = 4.416 Å, b = 4.416 Å, c = 10.742 Å
α = 90.00°, β = 90.00°, γ = 90.00°
Atoms (fractional coordinates):
Sm: 0.000 0.500 0.248
Sm: 0.500 0.000 0.752
Ga: 0.000 0.000 0.000
Ga: 0.000 0.500 0.642
Ga: 0.500 0.000 0.358
Ga: 0.500 0.500 0.000
Hg: 0.000 0.000 0.500
Au: 0.000 0.500 0.873
Au: 0.500 0.000 0.127
Au: 0.500 0.500 0.500

total DFT energy (no corrections)	-3.72	eV/atom
energy of formation from the pure elements	-5.57	eV/f.u.
spin magnetization	0.000	μB/atom
symmetry	No. 115

Record 2
Below is a geometry-optimized Co2BiPd2 structure, with properties calculated at the PBE level.

a = 7.443 Å, b = 7.443 Å, c = 2.973 Å
α = 90.00°, β = 90.00°, γ = 90.00°
Atoms (fractional coordinates):
Co: 0.161 0.339 0.000
Co: 0.339 0.839 0.000
Co: 0.661 0.161 0.000
Co: 0.839 0.661 0.000
Bi: 0.000 0.000 0.500
Bi: 0.500 0.500 0.500
Pd: 0.131 0.631 0.500
Pd: 0.369 0.131 0.500
Pd: 0.631 0.869 0.500
Pd: 0.869 0.369 0.500

total DFT energy (no corrections)	-5.40	eV/atom
energy of formation from the pure elements	1.49	eV/f.u.
spin magnetization	0.839	μB/atom
symmetry	No. 127

Record 3
Below is a geometry-optimized HoMnAs2 structure, with properties calculated at the PBE level.

a = 6.425 Å, b = 6.425 Å, c = 6.425 Å
α = 35.63°, β = 35.63°, γ = 35.63°
Atoms (fractional coordinates):
Ho: 0.000 0.000 0.000
Mn: 0.500 0.500 0.500
As: 0.237 0.237 0.237
As: 0.763 0.763 0.763

total DFT energy (no corrections)	-6.45	eV/atom
energy of formation from the pure elements	-2.76	eV/f.u.
spin magnetization	0.812	μB/atom
symmetry	No. 166

Record 4
Below is a geometry-optimized Fe2TeCl structure, with properties calculated at the PBE level.

a = 3.109 Å, b = 4.060 Å, c = 6.368 Å
α = 90.00°, β = 90.00°, γ = 90.00°
Atoms (fractional coordinates):
Fe: 0.000 0.000 0.000
Fe: 0.500 0.000 0.500
Te: 0.000 0.500 0.500
Cl: 0.500 0.500 0.000

total DFT energy (no corrections)	-5.00	eV/atom
formation energy from raw total energies	0.48	eV/atom
spin magnetization	1.494	μB/atom
symmetry	No. 47

Record 5
Below is a geometry-optimized HPtN3 structure, with properties calculated at the PBE level.

a = 3.858 Å, b = 3.858 Å, c = 3.858 Å
α = 90.00°, β = 90.00°, γ = 90.00°
Atoms (fractional coordinates):
H: 0.000 0.000 0.000
Pt: 0.500 0.500 0.500
N: 0.000 0.500 0.500
N: 0.500 0.000 0.500
N: 0.500 0.500 0.000

total DFT energy (no corrections)	-4.34	eV/atom
spin magnetization	0.000	μB/atom
symmetry	No. 221

Record 6
Below is a geometry-optimized Mn2IrOs structure, with properties calculated at the PBE level.

a = 2.655 Å, b = 2.655 Å, c = 8.786 Å
α = 90.00°, β = 90.00°, γ = 117.67°
Atoms (fractional coordinates):
Mn: 0.000 0.000 0.000
Mn: 0.500 0.500 0.237
Ir: 0.500 0.500 0.754
Os: 0.000 0.000 0.477

total DFT energy (no corrections)	-9.28	eV/atom
energy of formation from the pure elements	1.31	eV/f.u.
spin magnetization	1.228	μB/atom
symmetry	No. 35

Record 7
Below is a geometry-optimized NaBeSe2Br structure, with properties calculated at the PBE level.

a = 5.185 Å, b = 5.185 Å, c = 5.203 Å
α = 90.00°, β = 90.00°, γ = 90.00°
Atoms (fractional coordinates):
Na: 0.000 0.000 0.000
Be: 0.500 0.500 0.500
Se: 0.000 0.500 0.000
Se: 0.500 0.000 0.000
Br: 0.000 0.000 0.500

total DFT energy (no corrections)	-1.86	eV/atom
formation energy from raw total energies	0.88	eV/atom
spin magnetization	0.024	μB/atom
symmetry	No. 123

Record 8
Below is a geometry-optimized CaTmGaPd structure, with properties calculated at the PBE level.

a = 4.412 Å, b = 5.830 Å, c = 5.830 Å
α = 38.63°, β = 90.00°, γ = 90.00°
Atoms (fractional coordinates):
Ca: 0.000 0.000 0.000
Tm: 0.500 0.288 0.288
Ga: 0.500 0.577 0.577
Pd: 0.000 0.722 0.722

total DFT energy (no corrections)	-4.31	eV/atom
energy of formation from the pure elements	-2.57	eV/f.u.
spin magnetization	0.000	μB/atom
symmetry	No. 38

The highest total DFT energy (no corrections) belongs to which entry? NaBeSe2Br

The highest total DFT energy (no corrections) belongs to which entry? NaBeSe2Br

What is the total DFT energy (no corrections) in the fourth record? -5.00 eV/atom

Which formula does entry 4 have? Fe2TeCl